[1]
A plane-wave DFT calculation with GGA-PBE was carried out for crystalline ZnAg3Os at its relaxed geometry.

a = 5.119 Å, b = 5.119 Å, c = 5.119 Å
α = 90.00°, β = 90.00°, γ = 90.00°
Sites, in units of the cell vectors:
Zn (0.000, 0.000, 0.000)
Ag (0.000, 0.500, 0.500)
Ag (0.500, 0.000, 0.500)
Ag (0.500, 0.500, 0.000)
Os (0.500, 0.500, 0.500)

Output
- Calculated density: 7.17 g cm⁻³
- Formation energy: 1.51 eV/atom
- Volume: 26.827 Å³ per atom
- Offset from the most stable computed form: 0.38 eV per formula unit


[2]
A plane-wave DFT calculation with GGA-PBE was carried out for crystalline ZnAg2Os2 at its relaxed geometry.

a = 6.340 Å, b = 6.340 Å, c = 4.295 Å
α = 90.00°, β = 90.00°, γ = 90.00°
Sites, in units of the cell vectors:
Zn (0.000, 0.000, 0.000)
Zn (0.500, 0.500, 0.000)
Ag (0.178, 0.322, 0.500)
Ag (0.322, 0.822, 0.500)
Ag (0.678, 0.178, 0.500)
Ag (0.822, 0.678, 0.500)
Os (0.129, 0.629, 0.000)
Os (0.371, 0.129, 0.000)
Os (0.629, 0.871, 0.000)
Os (0.871, 0.371, 0.000)

Output
- Calculated density: 12.73 g cm⁻³
- Formation energy: 0.80 eV/atom
- Volume: 17.265 Å³ per atom
- Offset from the most stable computed form: 0.00 eV per formula unit


[3]
A plane-wave DFT calculation with GGA-PBE was carried out for crystalline ZnAgOs at its relaxed geometry.

a = 5.928 Å, b = 5.928 Å, c = 5.928 Å
α = 90.00°, β = 90.00°, γ = 90.00°
Sites, in units of the cell vectors:
Zn (0.000, 0.000, 0.000)
Zn (0.000, 0.500, 0.500)
Zn (0.500, 0.000, 0.500)
Zn (0.500, 0.500, 0.000)
Ag (0.250, 0.250, 0.250)
Ag (0.250, 0.750, 0.750)
Ag (0.750, 0.250, 0.750)
Ag (0.750, 0.750, 0.250)
Os (0.250, 0.250, 0.750)
Os (0.250, 0.750, 0.250)
Os (0.750, 0.250, 0.250)
Os (0.750, 0.750, 0.750)

Output
- Calculated density: 11.59 g cm⁻³
- Formation energy: 1.01 eV/atom
- Volume: 17.363 Å³ per atom
- Offset from the most stable computed form: 2.94 eV per formula unit


[4]
A plane-wave DFT calculation with GGA-PBE was carried out for crystalline ZnAg3Os at its relaxed geometry.

a = 4.671 Å, b = 4.671 Å, c = 4.671 Å
α = 90.00°, β = 90.00°, γ = 90.00°
Sites, in units of the cell vectors:
Zn (0.000, 0.000, 0.000)
Ag (0.000, 0.000, 0.500)
Ag (0.000, 0.500, 0.000)
Ag (0.500, 0.000, 0.000)
Os (0.500, 0.500, 0.500)

Output
- Calculated density: 9.44 g cm⁻³
- Formation energy: 1.43 eV/atom
- Volume: 20.385 Å³ per atom
- Offset from the most stable computed form: 0.00 eV per formula unit


[5]
A plane-wave DFT calculation with GGA-PBE was carried out for crystalline ZnAgOs at its relaxed geometry.

a = 2.835 Å, b = 2.835 Å, c = 11.512 Å
α = 90.00°, β = 90.00°, γ = 90.00°
Sites, in units of the cell vectors:
Zn (0.250, 0.250, 0.234)
Zn (0.750, 0.750, 0.766)
Ag (0.250, 0.250, 0.594)
Ag (0.750, 0.750, 0.406)
Os (0.250, 0.250, 0.928)
Os (0.750, 0.750, 0.072)

Output
- Calculated density: 13.05 g cm⁻³
- Formation energy: 0.03 eV/atom
- Volume: 15.421 Å³ per atom
- Offset from the most stable computed form: 0.00 eV per formula unit


[6]
A plane-wave DFT calculation with GGA-PBE was carried out for crystalline ZnAgOs at its relaxed geometry.

a = 2.850 Å, b = 4.654 Å, c = 13.945 Å
α = 90.00°, β = 90.00°, γ = 90.00°
Sites, in units of the cell vectors:
Zn (0.000, 0.000, 0.000)
Zn (0.000, 0.500, 0.500)
Zn (0.500, 0.000, 0.500)
Zn (0.500, 0.500, 0.000)
Ag (0.000, 0.000, 0.335)
Ag (0.000, 0.500, 0.835)
Ag (0.500, 0.000, 0.835)
Ag (0.500, 0.500, 0.335)
Os (0.000, 0.000, 0.656)
Os (0.000, 0.500, 0.156)
Os (0.500, 0.000, 0.156)
Os (0.500, 0.500, 0.656)

Output
- Calculated density: 13.06 g cm⁻³
- Formation energy: 0.37 eV/atom
- Volume: 15.412 Å³ per atom
- Offset from the most stable computed form: 1.01 eV per formula unit


[7]
A plane-wave DFT calculation with GGA-PBE was carried out for crystalline Zn3AgOs at its relaxed geometry.

a = 4.787 Å, b = 4.787 Å, c = 4.787 Å
α = 90.00°, β = 90.00°, γ = 90.00°
Sites, in units of the cell vectors:
Zn (0.000, 0.000, 0.500)
Zn (0.000, 0.500, 0.000)
Zn (0.500, 0.000, 0.000)
Ag (0.500, 0.500, 0.500)
Os (0.000, 0.000, 0.000)

Output
- Calculated density: 7.48 g cm⁻³
- Formation energy: 0.73 eV/atom
- Volume: 21.941 Å³ per atom
- Offset from the most stable computed form: 0.00 eV per formula unit


[8]
A plane-wave DFT calculation with GGA-PBE was carried out for crystalline Zr5AgOs4 at its relaxed geometry.

a = 3.264 Å, b = 3.264 Å, c = 17.180 Å
α = 90.00°, β = 90.00°, γ = 90.00°
Sites, in units of the cell vectors:
Zr (0.000, 0.000, 0.000)
Zr (0.000, 0.000, 0.193)
Zr (0.000, 0.000, 0.386)
Zr (0.000, 0.000, 0.614)
Zr (0.000, 0.000, 0.807)
Ag (0.500, 0.500, 0.500)
Os (0.500, 0.500, 0.097)
Os (0.500, 0.500, 0.291)
Os (0.500, 0.500, 0.709)
Os (0.500, 0.500, 0.903)

Output
- Calculated density: 12.02 g cm⁻³
- Formation energy: -0.42 eV/atom
- Volume: 18.307 Å³ per atom


[9]
A plane-wave DFT calculation with GGA-PBE was carried out for crystalline ZrAg3Os at its relaxed geometry.

a = 4.937 Å, b = 4.937 Å, c = 4.937 Å
α = 90.00°, β = 90.00°, γ = 90.00°
Sites, in units of the cell vectors:
Zr (0.000, 0.000, 0.000)
Ag (0.000, 0.500, 0.500)
Ag (0.500, 0.000, 0.500)
Ag (0.500, 0.500, 0.000)
Os (0.500, 0.500, 0.500)

Output
- Calculated density: 8.35 g cm⁻³
- Formation energy: 1.49 eV/atom
- Volume: 24.072 Å³ per atom
- Offset from the most stable computed form: 0.00 eV per formula unit


[10]
A plane-wave DFT calculation with GGA-PBE was carried out for crystalline ZrAgOs2 at its relaxed geometry.

a = 3.364 Å, b = 3.364 Å, c = 5.959 Å
α = 90.00°, β = 90.00°, γ = 90.00°
Sites, in units of the cell vectors:
Zr (0.000, 0.000, 0.000)
Ag (0.000, 0.000, 0.500)
Os (0.500, 0.500, 0.257)
Os (0.500, 0.500, 0.743)

Output
- Calculated density: 14.27 g cm⁻³
- Formation energy: 0.38 eV/atom
- Volume: 16.860 Å³ per atom
- Offset from the most stable computed form: 0.97 eV per formula unit


[11]
A plane-wave DFT calculation with GGA-PBE was carried out for crystalline Zr2AgOs at its relaxed geometry.

a = 3.219 Å, b = 3.219 Å, c = 7.422 Å
α = 90.00°, β = 90.00°, γ = 90.00°
Sites, in units of the cell vectors:
Zr (0.000, 0.000, 0.226)
Zr (0.000, 0.000, 0.774)
Ag (0.500, 0.500, 0.500)
Os (0.500, 0.500, 0.000)

Output
- Calculated density: 10.38 g cm⁻³
- Formation energy: -0.26 eV/atom
- Volume: 19.225 Å³ per atom


[12]
A plane-wave DFT calculation with GGA-PBE was carried out for crystalline ZrAgOs2 at its relaxed geometry.

a = 2.811 Å, b = 2.811 Å, c = 29.246 Å
α = 90.00°, β = 90.00°, γ = 120.00°
Sites, in units of the cell vectors:
Zr (0.000, 0.000, 0.000)
Zr (0.333, 0.667, 0.667)
Zr (0.667, 0.333, 0.333)
Ag (0.000, 0.000, 0.500)
Ag (0.333, 0.667, 0.167)
Ag (0.667, 0.333, 0.833)
Os (0.000, 0.000, 0.250)
Os (0.000, 0.000, 0.750)
Os (0.333, 0.667, 0.417)
Os (0.333, 0.667, 0.916)
Os (0.667, 0.333, 0.084)
Os (0.667, 0.333, 0.583)

Output
- Calculated density: 14.43 g cm⁻³
- Formation energy: 0.43 eV/atom
- Volume: 16.673 Å³ per atom
- Offset from the most stable computed form: 1.18 eV per formula unit


[13]
A plane-wave DFT calculation with GGA-PBE was carried out for crystalline ZrAgOs2 at its relaxed geometry.

a = 9.365 Å, b = 2.965 Å, c = 4.943 Å
α = 90.00°, β = 102.40°, γ = 90.00°
Sites, in units of the cell vectors:
Zr (0.000, 0.000, 0.000)
Zr (0.500, 0.500, 0.000)
Ag (0.000, 0.500, 0.500)
Ag (0.500, 0.000, 0.500)
Os (0.246, 0.500, 0.267)
Os (0.254, 0.000, 0.733)
Os (0.746, 0.000, 0.267)
Os (0.754, 0.500, 0.733)

Output
- Calculated density: 14.36 g cm⁻³
- Formation energy: 0.28 eV/atom
- Volume: 16.754 Å³ per atom
- Offset from the most stable computed form: 0.58 eV per formula unit


[14]
A plane-wave DFT calculation with GGA-PBE was carried out for crystalline ZrAgOs2 at its relaxed geometry.

a = 9.576 Å, b = 2.963 Å, c = 4.837 Å
α = 90.00°, β = 102.22°, γ = 90.00°
Sites, in units of the cell vectors:
Zr (0.000, 0.000, 0.000)
Zr (0.500, 0.500, 0.000)
Ag (0.240, 0.000, 0.755)
Ag (0.740, 0.500, 0.755)
Os (0.257, 0.500, 0.284)
Os (0.489, 0.000, 0.467)
Os (0.757, 0.000, 0.284)
Os (0.989, 0.500, 0.467)

Output
- Calculated density: 14.35 g cm⁻³
- Formation energy: 0.25 eV/atom
- Volume: 16.769 Å³ per atom
- Offset from the most stable computed form: 0.44 eV per formula unit